Material: Ta2CrPdN
Method: DFT, PBE
State: optimized geometry

Cell: 4.2517 4.2517 3.8302 Å, 90.00 90.00 90.00°
Last column: nearest neighbours and their distance in Å.
Atoms (fractional coordinates):
Ta1 0.0000 0.5000 0.0000  2 N 2.13
Cr1 0.0000 0.0000 0.5000  2 N 1.92
Pd1 0.5000 0.5000 0.5000  8 Ta 2.86, 4 Cr 3.01
N1 0.0000 0.0000 0.0000  2 Cr 1.92, 4 Ta 2.13
Ta2 0.5000 0.0000 0.0000  2 N 2.13

Properties
Final energy = -9.842 eV per atom
SG = P4/mmm (123)
E_form (uncorrected) = -0.47 eV per atom
Fermi-level density of states = 4.34 states/eV/cell



Material: Na2SbCl6
Method: DFT, PBE
State: optimized geometry

Cell: 6.9839 6.7255 11.5009 Å, 90.00 90.01 90.00°
Last column: nearest neighbours and their distance in Å.
Atoms (fractional coordinates):
Na1 0.4996 0.0001 0.3136  6 Cl 2.82-2.94
Cl1 0.1564 0.2138 0.6572  1 Sb 2.56, 2 Na 2.82-2.85
Na2 0.5004 0.9999 0.6864  6 Cl 2.82-2.94
Cl2 0.1575 0.2171 0.3447  1 Sb 2.56, 2 Na 2.82-2.85
Na3 0.0004 0.5001 0.1864  6 Cl 2.82-2.94
Cl3 0.8425 0.7829 0.6553  1 Sb 2.56, 2 Na 2.82-2.85
Cl4 0.6575 0.2829 0.8447  1 Sb 2.56, 2 Na 2.82-2.85
Cl5 0.3425 0.7171 0.1553  1 Sb 2.56, 2 Na 2.82-2.85
Cl6 0.8001 0.7129 0.9995  1 Sb 2.54
Cl7 0.1999 0.2871 0.0005  1 Sb 2.54
Sb1 0.5000 0.5000 0.0000  6 Cl 2.54-2.56
Na4 0.9996 0.4999 0.8136  6 Cl 2.82-2.94
Cl8 0.6999 0.2129 0.5005  1 Sb 2.54
Cl9 0.3436 0.7138 0.8428  1 Sb 2.56, 2 Na 2.82-2.85
Cl10 0.6564 0.2862 0.1572  1 Sb 2.56, 2 Na 2.82-2.85
Cl11 0.8436 0.7862 0.3428  1 Sb 2.56, 2 Na 2.82-2.85
Cl12 0.3001 0.7871 0.4995  1 Sb 2.54
Sb2 0.0000 0.0000 0.5000  6 Cl 2.54-2.56

Properties
Final energy = -3.184 eV per atom
SG = P2_1/c (14)
E_form (uncorrected) = -1.20 eV per atom
Relative energy among the computed polymorphs = 0.000 eV/atom
Fermi-level density of states = 8.95 states/eV/cell



Material: Sc2TaCd
Method: DFT, PBE
State: optimized geometry

Cell: 11.0468 11.0468 11.0468 Å, 15.87 15.87 15.87°
Last column: nearest neighbours and their distance in Å.
Atoms (fractional coordinates):
Sc1 0.0865 0.0865 0.0865  1 Ta 2.83, 6 Sc 3.05, 3 Cd 3.16
Cd1 0.5000 0.5000 0.5000  6 Cd 3.05, 6 Sc 3.16
Ta1 0.0000 0.0000 0.0000  2 Sc 2.83, 6 Ta 3.05
Sc2 0.9135 0.9135 0.9135  1 Ta 2.83, 6 Sc 3.05, 3 Cd 3.16

Properties
Final energy = -5.985 eV per atom
SG = R-3m (166)
Fermi-level density of states = 6.54 states/eV/cell
Calculated formation energy = 1.492 eV per formula unit



Material: Cu3Pd4Pt2
Method: DFT, PBE
State: optimized geometry

Cell: 2.7538 7.1210 6.9505 Å, 80.79 78.57 78.85°
Last column: nearest neighbours and their distance in Å.
Atoms (fractional coordinates):
Pd1 0.3381 0.3282 0.9955  5 Cu 2.67-2.70, 1 Pt 2.73, 6 Pd 2.75-2.79
Pt1 0.3054 0.0628 0.3264  4 Cu 2.68-2.70, 4 Pd 2.73-2.85, 4 Pt 2.75-2.78
Cu1 0.0000 0.0000 0.0000  6 Pd 2.67-2.94, 4 Pt 2.70, 2 Cu 2.75
Cu2 0.3560 0.6067 0.6813  7 Pd 2.65-2.70, 2 Pt 2.68, 2 Cu 2.75
Pd2 0.6619 0.6718 0.0045  5 Cu 2.67-2.70, 1 Pt 2.73, 6 Pd 2.75-2.79
Pd3 0.9681 0.7109 0.3529  5 Cu 2.65-2.94, 4 Pd 2.75-2.79, 3 Pt 2.80-2.85
Pd4 0.0319 0.2891 0.6471  5 Cu 2.65-2.94, 4 Pd 2.75-2.79, 3 Pt 2.80-2.85
Cu3 0.6440 0.3933 0.3187  7 Pd 2.65-2.70, 2 Pt 2.68, 2 Cu 2.75
Pt2 0.6946 0.9372 0.6736  4 Cu 2.68-2.70, 4 Pd 2.73-2.85, 4 Pt 2.75-2.78

Properties
Final energy = -5.090 eV per atom
SG = C2/m (12)
Relative energy among the computed polymorphs = 0.000 eV/atom
Fermi-level density of states = 14.76 states/eV/cell
Calculated formation energy = -0.669 eV per formula unit



Material: TbHo2P3
Method: DFT, PBE
State: optimized geometry

Cell: 4.0044 5.6560 6.9294 Å, 114.09 106.82 90.00°
Last column: nearest neighbours and their distance in Å.
Atoms (fractional coordinates):
P1 0.8321 0.8320 0.6640  4 Ho 2.82-2.83, 2 Tb 2.84
P2 0.1679 0.1680 0.3360  4 Ho 2.82-2.83, 2 Tb 2.84
P3 0.5000 0.5000 0.0000  2 Tb 2.83, 4 Ho 2.83
Ho1 0.1666 0.6665 0.3330  6 P 2.82-2.83
Tb1 0.5000 0.0000 0.0000  6 P 2.83-2.84
Ho2 0.8334 0.3335 0.6670  6 P 2.82-2.83

Properties
Final energy = -6.616 eV per atom
SG = Immm (71)
Fermi-level density of states = 0.81 states/eV/cell
Calculated formation energy = -9.683 eV per formula unit



Material: KMg6Cd8
Method: DFT, PBE
State: optimized geometry

Cell: 7.5685 7.5685 7.5685 Å, 69.98 69.98 69.98°
Last column: nearest neighbours and their distance in Å.
Atoms (fractional coordinates):
Cd1 0.1937 0.5413 0.8630  4 Mg 2.94-3.16, 5 Cd 2.98-3.23
K1 0.0000 0.0000 0.0000  6 Mg 3.52, 8 Cd 3.64-3.83
Cd2 0.8063 0.4587 0.1370  4 Mg 2.94-3.16, 5 Cd 2.98-3.23
Mg1 0.8375 0.6441 0.4130  5 Cd 2.94-3.16, 3 Mg 3.02-3.20
Cd3 0.4587 0.1370 0.8063  4 Mg 2.94-3.16, 5 Cd 2.98-3.23
Cd4 0.8630 0.1937 0.5413  4 Mg 2.94-3.16, 5 Cd 2.98-3.23
Cd5 0.1370 0.8063 0.4587  4 Mg 2.94-3.16, 5 Cd 2.98-3.23
Cd6 0.7751 0.7751 0.7751  6 Cd 2.98-3.23, 3 Mg 3.06
Cd7 0.5413 0.8630 0.1937  4 Mg 2.94-3.16, 5 Cd 2.98-3.23
Mg2 0.1625 0.3559 0.5870  5 Cd 2.94-3.16, 3 Mg 3.02-3.20
Mg3 0.6441 0.4130 0.8375  5 Cd 2.94-3.16, 3 Mg 3.02-3.20
Cd8 0.2249 0.2249 0.2249  6 Cd 2.98-3.23, 3 Mg 3.06
Mg4 0.3559 0.5870 0.1625  5 Cd 2.94-3.16, 3 Mg 3.02-3.20
Mg5 0.5870 0.1625 0.3559  5 Cd 2.94-3.16, 3 Mg 3.02-3.20
Mg6 0.4130 0.8375 0.6441  5 Cd 2.94-3.16, 3 Mg 3.02-3.20

Properties
Final energy = -1.203 eV per atom
SG = R-3 (148)
Fermi-level density of states = 7.23 states/eV/cell
Calculated formation energy = -0.056 eV per formula unit



Material: Zr2FeSbH
Method: DFT, PBE
State: optimized geometry

Cell: 4.4099 4.4099 4.0671 Å, 90.00 90.00 90.00°
Last column: nearest neighbours and their distance in Å.
Atoms (fractional coordinates):
Zr1 0.0000 0.5000 0.0000  2 H 2.20
Zr2 0.5000 0.0000 0.0000  2 H 2.20
Fe1 0.0000 0.0000 0.5000  2 H 2.03
H1 0.0000 0.0000 0.0000  2 Fe 2.03, 4 Zr 2.20
Sb1 0.5000 0.5000 0.5000  8 Zr 3.00, 4 Fe 3.12

Properties
Final energy = -6.961 eV per atom
SG = P4/mmm (123)
Fermi-level density of states = 2.48 states/eV/cell



Material: LiIn3
Method: DFT, PBE
State: optimized geometry

Cell: 6.5882 6.5882 5.0532 Å, 90.00 90.00 119.95°
Last column: nearest neighbours and their distance in Å.
Atoms (fractional coordinates):
In1 0.6582 0.8294 0.7500  4 Li 3.13-3.30, 8 In 3.19-3.38
In2 0.3418 0.1706 0.2500  4 Li 3.13-3.30, 8 In 3.19-3.38
Li1 0.3338 0.6662 0.2500  12 In 3.13-3.30
In3 0.1706 0.3418 0.7500  4 Li 3.13-3.30, 8 In 3.19-3.38
In4 0.8295 0.1705 0.2500  4 Li 3.14-3.30, 8 In 3.19-3.37
In5 0.1705 0.8295 0.7500  4 Li 3.14-3.30, 8 In 3.19-3.37
Li2 0.6662 0.3338 0.7500  12 In 3.13-3.30
In6 0.8294 0.6582 0.2500  4 Li 3.13-3.30, 8 In 3.19-3.38

Properties
Final energy = -2.665 eV per atom
SG = Cmcm (63)
Fermi-level density of states = 2.77 states/eV/cell
Calculated formation energy = -0.530 eV per formula unit



Material: RbSb3Rh
Method: DFT, PBE
State: optimized geometry

Cell: 5.7986 5.7986 5.7986 Å, 90.00 90.00 90.00°
Last column: nearest neighbours and their distance in Å.
Atoms (fractional coordinates):
Sb1 0.0000 0.5000 0.0000  2 Rb 2.90
Sb2 0.0000 0.0000 0.5000  2 Rb 2.90
Rb1 0.0000 0.0000 0.0000  6 Sb 2.90
Sb3 0.5000 0.0000 0.0000  2 Rb 2.90
Rh1 0.5000 0.5000 0.5000  12 Sb 4.10

Properties
Final energy = -2.085 eV per atom
SG = Pm-3m (221)
E_form (uncorrected) = 2.05 eV per atom
Relative energy among the computed polymorphs = 1.993 eV/atom
Fermi-level density of states = 5.51 states/eV/cell



Material: LaYInN3
Method: DFT, PBE
State: optimized geometry

Cell: 3.4357 6.7534 9.5021 Å, 94.23 90.00 90.00°
Last column: nearest neighbours and their distance in Å.
Atoms (fractional coordinates):
N1 0.7500 0.3994 0.1289  3 Y 2.27-2.49, 2 La 2.52
Y1 0.7500 0.3375 0.8913  5 N 2.27-2.49
N2 0.2500 0.8054 0.5467  2 In 2.18
In1 0.7500 0.8340 0.4091  3 N 2.18
Y2 0.2500 0.6625 0.1087  5 N 2.27-2.49
In2 0.2500 0.1660 0.5909  3 N 2.18
N3 0.2500 0.6006 0.8711  3 Y 2.27-2.49, 2 La 2.52
La1 0.7500 0.8097 0.7578  6 N 2.52-2.70
N4 0.2500 0.1133 0.8140  1 In 2.18, 2 Y 2.37
N5 0.7500 0.1946 0.4533  2 In 2.18
La2 0.2500 0.1903 0.2422  6 N 2.52-2.70
N6 0.7500 0.8867 0.1860  1 In 2.18, 2 Y 2.37

Properties
Final energy = -7.303 eV per atom
SG = P2_1/m (11)
E_form (uncorrected) = -0.79 eV per atom



Material: Pm6PrTl
Method: DFT, PBE
State: optimized geometry

Cell: 7.2616 7.2616 7.2361 Å, 105.17 105.17 121.73°
Last column: nearest neighbours and their distance in Å.
Atoms (fractional coordinates):
Pm1 0.7420 0.7420 0.2569  1 Tl 3.04, 1 Pr 3.23
Pr1 0.0000 0.0000 0.0000  6 Pm 3.23-3.38, 2 Tl 3.44
Pm2 0.0478 0.4988 0.2520  6 Pm 3.28-3.62, 1 Tl 3.30, 1 Pr 3.38
Pm3 0.2580 0.2580 0.7431  1 Tl 3.04, 1 Pr 3.23
Pm4 0.5012 0.9522 0.7480  6 Pm 3.28-3.62, 1 Tl 3.30, 1 Pr 3.38
Pm5 0.4988 0.0478 0.2520  6 Pm 3.28-3.62, 1 Tl 3.30, 1 Pr 3.38
Tl1 0.5000 0.5000 0.5000  6 Pm 3.04-3.30
Pm6 0.9522 0.5012 0.7480  6 Pm 3.28-3.62, 1 Tl 3.30, 1 Pr 3.38

Properties
Final energy = -4.257 eV per atom
SG = C2/m (12)
Relative energy among the computed polymorphs = 0.278 eV/atom
Fermi-level density of states = 13.20 states/eV/cell
Calculated formation energy = 1.595 eV per formula unit